DFT (PBE) results for a relaxed structure of AcSbTe.

Properties
Spin magnetization: 0.00 μB/f.u.
Energy relative to the elements, uncorrected: -1233 meV/atom
Total energy: -5.02 eV per atom

Cell: 4.5406 4.5406 10.4537 Å, 102.54 102.54 90.00°
Atoms (fractional coordinates):
Te 0.1871 0.1871 0.3743
Te 0.8129 0.8129 0.6257
Ac 0.6387 0.6387 0.2774
Ac 0.3613 0.3613 0.7226
Sb 0.5000 0.0000 0.0000
Sb 0.0000 0.5000 0.0000


DFT (PBE) results for a relaxed structure of Ac6SbTe12.

Properties
Spin magnetization: 0.00 μB/f.u.
Energy relative to the elements, uncorrected: -1196 meV/atom
Total energy: -4.70 eV per atom

Cell: 9.3221 9.3221 9.3221 Å, 98.31 98.31 98.31°
Atoms (fractional coordinates):
Te 0.5749 0.1846 0.4317
Te 0.6664 0.9615 0.0115
Te 0.1846 0.4317 0.5749
Te 0.9615 0.0115 0.6664
Te 0.4317 0.5749 0.1846
Te 0.0385 0.9885 0.3336
Te 0.0115 0.6664 0.9615
Te 0.8154 0.5683 0.4251
Te 0.5683 0.4251 0.8154
Te 0.9885 0.3336 0.0385
Te 0.3336 0.0385 0.9885
Te 0.4251 0.8154 0.5683
Sb 0.0000 0.0000 0.0000
Ac 0.3182 0.1351 0.6429
Ac 0.3571 0.6818 0.8649
Ac 0.6429 0.3182 0.1351
Ac 0.1351 0.6429 0.3182
Ac 0.8649 0.3571 0.6818
Ac 0.6818 0.8649 0.3571


DFT (PBE) results for a relaxed structure of AcSbTe.

Properties
Spin magnetization: 0.00 μB/f.u.
Energy relative to the elements, uncorrected: -873 meV/atom
Total energy: -4.66 eV per atom

Cell: 4.4643 4.4643 6.2620 Å, 110.88 110.88 90.00°
Atoms (fractional coordinates):
Ac 0.6790 0.6790 0.3580
Sb 0.2954 0.2954 0.5909
Te 0.0256 0.0256 0.0511


- What is the formula in the second record?
  Ac6SbTe12